(1)
The following is a PBE calculation of a relaxed structure of La6NiAu2C, from Alexandria.

Cell and atoms, written as POSCAR:
```
La6NiAu2C
1.0
6.9676 -0.0001 -0.0193
-0.0001 7.6992 0.0000
0.0334 0.0000 10.5743
La Ni Au C
12 2 4 2
Direct
0.3068 0.6788 0.0602
0.8068 0.8212 0.5602
0.6932 0.3212 0.9398
0.1932 0.1788 0.4398
0.3314 0.7044 0.4462
0.8314 0.7956 0.9462
0.6686 0.2956 0.5538
0.1686 0.2044 0.0538
0.8805 0.5312 0.2359
0.3805 0.9688 0.7359
0.1195 0.4688 0.7641
0.6195 0.0312 0.2641
0.5000 0.0000 0.0000
0.0000 0.5000 0.5000
0.0496 0.9067 0.2435
0.5496 0.5933 0.7435
0.9504 0.0933 0.7565
0.4504 0.4067 0.2565
0.5000 0.0000 0.5000
0.0000 0.5000 0.0000
```

Values from the calculation:
- ρ (g/cm3) = 7.6
- final energy (eV/cell) = -110.5
- ΔH_f (0 K) (eV per atom) = -0.410
- total magnetization (μB per formula unit) = 0.0

(2)
The following is a PBE calculation of a relaxed structure of La6Au2CO, from Alexandria.

Cell and atoms, written as POSCAR:
```
La6Au2CO
1.0
7.0048 0.0000 0.0039
0.0000 7.3614 0.0000
0.0679 0.0000 10.2042
La Au C O
12 4 2 2
Direct
0.2976 0.7050 0.0493
0.7976 0.7950 0.5493
0.7024 0.2950 0.9507
0.2024 0.2050 0.4507
0.3020 0.7074 0.4521
0.8020 0.7926 0.9521
0.6980 0.2926 0.5479
0.1980 0.2074 0.0479
0.8999 0.5250 0.2465
0.3999 0.9750 0.7465
0.1001 0.4750 0.7535
0.6001 0.0250 0.2535
0.0339 0.9333 0.2526
0.5339 0.5667 0.7526
0.9661 0.0667 0.7474
0.4661 0.4333 0.2474
0.5000 0.0000 0.5000
0.0000 0.5000 0.0000
0.5000 0.0000 0.0000
0.0000 0.5000 0.5000
```

Values from the calculation:
- ρ (g/cm3) = 7.9
- final energy (eV/cell) = -119.6
- E_form (uncorrected) (kJ per mole of atoms) = -92
- total magnetization (μB per formula unit) = 0.0

(3)
The following is a PBE calculation of a relaxed structure of La6PdAu2C, from Alexandria.

Cell and atoms, written as POSCAR:
```
La6PdAu2C
1.0
-2.0229 -0.5056 6.6592
0.3763 -7.8042 -0.4783
10.2235 0.3044 3.0773
La Pd Au C
12 2 4 2
Direct
0.3079 0.6699 0.0633
0.8079 0.8301 0.5633
0.6921 0.3301 0.9367
0.1921 0.1699 0.4367
0.3424 0.7076 0.4415
0.8424 0.7924 0.9415
0.6576 0.2924 0.5585
0.1576 0.2076 0.0585
0.8724 0.5377 0.2320
0.3724 0.9623 0.7320
0.1276 0.4623 0.7680
0.6276 0.0377 0.2680
0.5000 0.0000 0.0000
0.0000 0.5000 0.5000
0.0524 0.9022 0.2402
0.5524 0.5978 0.7402
0.9476 0.0978 0.7598
0.4476 0.4022 0.2598
0.5000 0.0000 0.5000
0.0000 0.5000 0.0000
```

Values from the calculation:
- ρ (g/cm3) = 7.7
- final energy (eV/cell) = -111.2
- ΔH_f (0 K) (eV per atom) = -0.504
- total magnetization (μB per formula unit) = 0.0

- Which formula does entry 1 have?
  La6NiAu2C